The following is a DFT calculation (PBE+U) of an optimized crystal structure of Zr3VO.

Values from the calculation:
Its symmetry is No. 221. The density of states at the Fermi level comes out at 0.7537 states/eV per atom. As for the excess energy over the best structure of this formula in the dataset: 0.000 eV per atom. The calculation puts the total magnetization at 1.88 μB/cell.

Unit cell a=4.4988 b=4.4988 c=4.4988 alpha=90.00 beta=90.00 gamma=90.00
Last column: nearest neighbours and their distance in Å.
Element x y z (fractional)
Zr 0.0000 0.5000 0.0000  2 O 2.25
Zr 0.0000 0.0000 0.5000  2 O 2.25
Zr 0.5000 0.0000 0.0000  2 O 2.25
O 0.0000 0.0000 0.0000  6 Zr 2.25
V 0.5000 0.5000 0.5000  12 Zr 3.18